# 1
Below is a geometry-optimized LiHoAlFe structure, with properties calculated at the PBE level.

Results
**Crystal system**: cubic
**Energy of formation**: -0.038 eV/atom
**Fermi-level density of states**: 7.91 states/eV/f.u.
**Total magnetization**: 2.535 μB per formula unit

Unit cell a=6.4979 b=6.4979 c=6.4979 alpha=90.00 beta=90.00 gamma=90.00
Space group F-43m (No. 216)
Inequivalent atoms, fractional coordinates:
Li 0.0000 0.0000 0.0000
Ho 0.2500 0.2500 0.7500
Al 0.2500 0.2500 0.2500
Fe 0.0000 0.0000 0.5000


# 2
Below is a geometry-optimized Cs2CuH3 structure, with properties calculated at the PBE level.

Results
**Crystal system**: monoclinic
**Total magnetization**: 0.000 μB per formula unit
**E_tot**: -16.6 eV/f.u.

Unit cell a=10.9030 b=7.3938 c=8.5787 alpha=90.00 beta=119.86 gamma=90.00
Space group C2/c (No. 15)
Inequivalent atoms, fractional coordinates:
Cs 0.1607 0.1949 0.1788
Cu 0.0000 0.4044 0.7500
H 0.0000 0.1827 0.7500
H 0.1287 0.4850 0.4136


# 3
Below is a geometry-optimized ZrUC2 structure, with properties calculated at the PBE level.

Results
**Crystal system**: tetragonal
**Energy of formation**: -0.452 eV/atom
**Energy above the lowest structure with this stoichiometry**: 43 meV/atom
**Fermi-level density of states**: 4.71 states/eV/f.u.
**Total magnetization**: 0.012 μB per formula unit

Unit cell a=3.4335 b=3.4335 c=4.8318 alpha=90.00 beta=90.00 gamma=90.00
Space group P4/mmm (No. 123)
Inequivalent atoms, fractional coordinates:
Zr 0.0000 0.0000 0.0000
U 0.5000 0.5000 0.5000
C 0.0000 0.0000 0.5000
C 0.5000 0.5000 0.0000


# 4
Below is a geometry-optimized NaCe2Ag structure, with properties calculated at the PBE level.

Results
**Crystal system**: trigonal
**Energy of formation**: 0.185 eV/atom
**Fermi-level density of states**: 7.38 states/eV/f.u.
**Total magnetization**: 0.000 μB per formula unit

Unit cell a=3.0720 b=3.0720 c=37.1761 alpha=90.00 beta=90.00 gamma=120.00
Space group R-3m (No. 166, hexagonal axes)
Inequivalent atoms, fractional coordinates:
Na 0.0000 0.0000 0.0000
Ce 0.0000 0.0000 0.0925
Ag 0.0000 0.0000 0.5000


# 5
Below is a geometry-optimized La3Cd2 structure, with properties calculated at the PBE level.

Results
**Crystal system**: trigonal
**Energy of formation**: -0.112 eV/atom
**Energy above the lowest structure with this stoichiometry**: 149 meV/atom
**Fermi-level density of states**: 5.70 states/eV/f.u.
**Total magnetization**: 0.000 μB per formula unit

Unit cell a=3.7739 b=3.7739 c=40.1587 alpha=90.00 beta=90.00 gamma=120.00
Space group R-3m (No. 166, hexagonal axes)
Inequivalent atoms, fractional coordinates:
La 0.0000 0.0000 0.0000
La 0.0000 0.0000 0.2036
Cd 0.0000 0.0000 0.3980


# 6
Below is a geometry-optimized PrScRh4 structure, with properties calculated at the PBE level.

Results
**Crystal system**: cubic
**Energy of formation**: -0.629 eV/atom
**Fermi-level density of states**: 4.06 states/eV/f.u.
**Total magnetization**: 0.000 μB per formula unit

Unit cell a=7.5361 b=7.5361 c=7.5361 alpha=90.00 beta=90.00 gamma=90.00
Space group F-43m (No. 216)
Inequivalent atoms, fractional coordinates:
Pr 0.0000 0.0000 0.0000
Sc 0.2500 0.2500 0.2500
Rh 0.1245 0.1245 0.6245


# 7
Below is a geometry-optimized Si2BO6 structure, with properties calculated at the PBE level.

Results
**Crystal system**: monoclinic
**Fermi-level density of states**: 2.35 states/eV/f.u.
**Total magnetization**: 1.036 μB per formula unit
**Uncorrected formation energy**: -2370.2 meV/atom

Unit cell a=10.1076 b=10.8549 c=5.2703 alpha=90.00 beta=121.29 gamma=90.00
Space group C2/c (No. 15)
Inequivalent atoms, fractional coordinates:
Si 0.2494 0.0850 0.1352
B 0.0000 0.2502 0.7500
O 0.0975 0.1731 0.0091
O 0.0984 0.3272 0.6876
O 0.2493 0.0118 0.8671


# 8
Below is a geometry-optimized Sr4BeAu structure, with properties calculated at the PBE level.

Results
**Crystal system**: cubic
**Energy of formation**: 0.822 eV/atom
**Fermi-level density of states**: 8.39 states/eV/f.u.
**Total magnetization**: 0.003 μB per formula unit

Unit cell a=9.8787 b=9.8787 c=9.8787 alpha=90.00 beta=90.00 gamma=90.00
Space group F-43m (No. 216)
Inequivalent atoms, fractional coordinates:
Sr 0.1250 0.1250 0.1250
Be 0.0000 0.0000 0.5000
Au 0.2500 0.2500 0.7500


# 9
Below is a geometry-optimized Pm6TlIr2 structure, with properties calculated at the PBE level.

Results
**Crystal system**: monoclinic
**Energy of formation**: -0.349 eV/atom
**Energy above the lowest structure with this stoichiometry**: 142 meV/atom
**Fermi-level density of states**: 7.02 states/eV/f.u.
**Total magnetization**: 0.000 μB per formula unit

Unit cell a=11.2294 b=5.5761 c=9.6574 alpha=90.00 beta=124.26 gamma=90.00
Space group C2/m (No. 12)
Inequivalent atoms, fractional coordinates:
Pm 0.0311 0.0000 0.1769
Pm 0.1210 0.5000 0.4363
Pm 0.1953 0.5000 0.0820
Tl 0.0000 0.0000 0.5000
Ir 0.1927 0.5000 0.7757


# 10
Below is a geometry-optimized Ac8PdRu3I4 structure, with properties calculated at the PBE level.

Results
**Crystal system**: monoclinic
**Fermi-level density of states**: 8.15 states/eV/f.u.
**Total magnetization**: 0.000 μB per formula unit
**Uncorrected formation energy**: -799.0 meV/atom

Unit cell a=15.1526 b=8.7416 c=10.0400 alpha=90.00 beta=120.28 gamma=90.00
Space group C2/m (No. 12)
Inequivalent atoms, fractional coordinates:
Ac 0.0246 0.2412 0.3150
Ac 0.2287 0.0000 0.6858
Ac 0.2341 0.5000 0.6849
Pd 0.0000 0.5000 0.5000
Ru 0.0000 0.0000 0.5000
Ru 0.2500 0.2500 0.5000
I 0.0000 0.0000 0.0000
I 0.0000 0.5000 0.0000
I 0.2500 0.2500 0.0000


# 11
Below is a geometry-optimized TaCd2Te structure, with properties calculated at the PBE level.

Results
**Crystal system**: monoclinic
**Fermi-level density of states**: 1.69 states/eV/f.u.
**Total magnetization**: 0.000 μB per formula unit
**Uncorrected formation energy**: 220.6 meV/atom

Unit cell a=10.2029 b=3.4559 c=5.6563 alpha=90.00 beta=115.82 gamma=90.00
Space group Cm (No. 8)
Inequivalent atoms, fractional coordinates:
Ta 0.0000 0.0000 0.0000
Cd 0.0043 0.5000 0.4358
Cd 0.2664 0.0000 0.5725
Te 0.2144 0.5000 0.0147


# 12
Below is a geometry-optimized Sc2GaFeIr structure, with properties calculated at the PBE level.

Results
**Crystal system**: tetragonal
**Energy of formation**: 0.615 eV/atom
**Fermi-level density of states**: 3.11 states/eV/f.u.
**Total magnetization**: 0.001 μB per formula unit

Unit cell a=4.8924 b=4.8924 c=4.1427 alpha=90.00 beta=90.00 gamma=90.00
Space group P4/mmm (No. 123)
Inequivalent atoms, fractional coordinates:
Sc 0.0000 0.5000 0.0000
Ga 0.0000 0.0000 0.0000
Fe 0.0000 0.0000 0.5000
Ir 0.5000 0.5000 0.5000


# 13
Below is a geometry-optimized NaSrYF6 structure, with properties calculated at the PBE level.

Results
**Crystal system**: trigonal
**Fermi-level density of states**: 0.00 states/eV/f.u.
**Total magnetization**: 0.128 μB per formula unit
**Uncorrected formation energy**: -3726.4 meV/atom

Unit cell a=5.9170 b=5.9170 c=10.2876 alpha=90.00 beta=90.00 gamma=120.00
Space group P-31c (No. 163)
Inequivalent atoms, fractional coordinates:
Na 0.3333 0.6667 0.2500
Sr 0.0000 0.0000 0.0000
Y 0.3333 0.6667 0.7500
F 0.0188 0.3524 0.6358


# 14
Below is a geometry-optimized PmY4Tm15 structure, with properties calculated at the PBE level.

Results
**Crystal system**: tetragonal
**Energy of formation**: 0.029 eV/atom
**Fermi-level density of states**: 28.14 states/eV/f.u.
**Total magnetization**: 0.000 μB per formula unit

Unit cell a=4.9662 b=4.9662 c=24.8386 alpha=90.00 beta=90.00 gamma=90.00
Space group P4/mmm (No. 123)
Inequivalent atoms, fractional coordinates:
Pm 0.0000 0.0000 0.0000
Y 0.0000 0.0000 0.2001
Y 0.0000 0.0000 0.4001
Tm 0.0000 0.5000 0.1004
Tm 0.0000 0.5000 0.3001
Tm 0.0000 0.5000 0.5000
Tm 0.5000 0.5000 0.0000
Tm 0.5000 0.5000 0.2005
Tm 0.5000 0.5000 0.4000


# 15
Below is a geometry-optimized K3Zn5Hg12 structure, with properties calculated at the PBE level.

Results
**Crystal system**: cubic
**Energy of formation**: 0.010 eV/atom
**Fermi-level density of states**: 7.97 states/eV/f.u.
**Total magnetization**: 0.000 μB per formula unit

Unit cell a=17.6684 b=17.6684 c=17.6684 alpha=90.00 beta=90.00 gamma=90.00
Space group Ia-3d (No. 230)
Inequivalent atoms, fractional coordinates:
K 0.0000 0.2500 0.1250
Zn 0.0000 0.0000 0.0000
Zn 0.0000 0.2500 0.3750
Hg 0.0630 0.0625 0.6267


# 16
Below is a geometry-optimized CaZnTc structure, with properties calculated at the PBE level.

Results
**Crystal system**: cubic
**Energy of formation**: 0.732 eV/atom
**Energy above the lowest structure with this stoichiometry**: 435 meV/atom
**Fermi-level density of states**: 3.44 states/eV/f.u.
**Total magnetization**: 1.949 μB per formula unit

Unit cell a=6.4402 b=6.4402 c=6.4402 alpha=90.00 beta=90.00 gamma=90.00
Space group F-43m (No. 216)
Inequivalent atoms, fractional coordinates:
Ca 0.0000 0.0000 0.0000
Zn 0.2500 0.2500 0.7500
Tc 0.0000 0.0000 0.5000


# 17
Below is a geometry-optimized As2CIBr structure, with properties calculated at the PBE level.

Results
**Crystal system**: tetragonal
**Energy above the lowest structure with this stoichiometry**: 0 meV/atom
**Fermi-level density of states**: 3.61 states/eV/f.u.
**Total magnetization**: 0.000 μB per formula unit
**Uncorrected formation energy**: 1221.6 meV/atom

Unit cell a=4.6680 b=4.6680 c=4.6884 alpha=90.00 beta=90.00 gamma=90.00
Space group P4/mmm (No. 123)
Inequivalent atoms, fractional coordinates:
As 0.0000 0.5000 0.0000
C 0.0000 0.0000 0.0000
I 0.5000 0.5000 0.5000
Br 0.0000 0.0000 0.5000


# 18
Below is a geometry-optimized CaSi2Sb structure, with properties calculated at the PBE level.

Results
**Crystal system**: tetragonal
**Fermi-level density of states**: 0.85 states/eV/f.u.
**Total magnetization**: 0.000 μB per formula unit
**Uncorrected formation energy**: 2.0 meV/atom

Unit cell a=3.7442 b=3.7442 c=6.3080 alpha=90.00 beta=90.00 gamma=90.00
Space group P4mm (No. 99)
Inequivalent atoms, fractional coordinates:
Ca 0.0000 0.0000 0.0000
Si 0.0000 0.0000 0.5371
Si 0.5000 0.5000 0.7129
Sb 0.5000 0.5000 0.3025